# K3Os2RhO9 PBE relaxed
data_K3Os2RhO9
_chemical_formula_sum 'K3 Os2 Rh1 O9'
_cell_length_a 5.583
_cell_length_b 5.583
_cell_length_c 6.891
_cell_angle_alpha 90.00
_cell_angle_beta 90.00
_cell_angle_gamma 120.00
_space_group_name_H-M_alt 'P 1'
_space_group_IT_number 1
_space_group_name_Hall 'P 1'
loop_
_atom_site_label
_atom_site_type_symbol
_atom_site_fract_x
_atom_site_fract_y
_atom_site_fract_z
K1 K 0.000 0.000 0.000
K2 K 0.333 0.667 0.658
K3 K 0.667 0.333 0.342
Os1 Os 0.333 0.667 0.165
Os2 Os 0.667 0.333 0.835
Rh1 Rh 0.000 0.000 0.500
O1 O 0.000 0.500 0.000
O2 O 0.170 0.341 0.321
O3 O 0.170 0.830 0.321
O4 O 0.341 0.170 0.679
O5 O 0.500 0.000 0.000
O6 O 0.500 0.500 0.000
O7 O 0.659 0.830 0.321
O8 O 0.830 0.170 0.679
O9 O 0.830 0.659 0.679
# Energy relative to the elements, uncorrected, meV/atom: -1115
# Electronic total energy, eV per atom: -6.297

# KOsRh2O8 PBE relaxed
data_KOsRh2O8
_chemical_formula_sum 'K1 Os1 Rh2 O8'
_cell_length_a 4.712
_cell_length_b 6.554
_cell_length_c 4.773
_cell_angle_alpha 90.00
_cell_angle_beta 92.88
_cell_angle_gamma 90.00
_space_group_name_H-M_alt 'P 1'
_space_group_IT_number 1
_space_group_name_Hall 'P 1'
loop_
_atom_site_label
_atom_site_type_symbol
_atom_site_fract_x
_atom_site_fract_y
_atom_site_fract_z
K1 K 0.000 0.000 0.000
Os1 Os 0.000 0.500 0.000
Rh1 Rh 0.500 0.249 0.500
Rh2 Rh 0.500 0.751 0.500
O1 O 0.211 0.300 0.199
O2 O 0.211 0.700 0.199
O3 O 0.286 0.500 0.702
O4 O 0.325 0.000 0.650
O5 O 0.675 0.000 0.350
O6 O 0.714 0.500 0.298
O7 O 0.789 0.300 0.801
O8 O 0.789 0.700 0.801
# Energy relative to the elements, uncorrected, meV/atom: -747
# Electronic total energy, eV per atom: -6.305

# K2OsRhO6 PBE relaxed
data_K2OsRhO6
_chemical_formula_sum 'K2 Os1 Rh1 O6'
_cell_length_a 6.664
_cell_length_b 6.664
_cell_length_c 6.664
_cell_angle_alpha 132.34
_cell_angle_beta 132.34
_cell_angle_gamma 69.70
_space_group_name_H-M_alt 'P 1'
_space_group_IT_number 1
_space_group_name_Hall 'P 1'
loop_
_atom_site_label
_atom_site_type_symbol
_atom_site_fract_x
_atom_site_fract_y
_atom_site_fract_z
K1 K 0.250 0.750 0.500
K2 K 0.750 0.250 0.500
Os1 Os 0.000 0.000 0.000
Rh1 Rh 0.500 0.500 0.000
O1 O 0.239 0.239 0.477
O2 O 0.239 0.761 0.000
O3 O 0.322 0.322 0.000
O4 O 0.678 0.678 0.000
O5 O 0.761 0.239 0.000
O6 O 0.761 0.761 0.523
# Energy relative to the elements, uncorrected, meV/atom: -940
# Electronic total energy, eV per atom: -5.992

# KOsRhO6 PBE relaxed
data_KOsRhO6
_chemical_formula_sum 'K1 Os1 Rh1 O6'
_cell_length_a 5.325
_cell_length_b 5.325
_cell_length_c 5.826
_cell_angle_alpha 90.00
_cell_angle_beta 90.00
_cell_angle_gamma 120.00
_space_group_name_H-M_alt 'P 1'
_space_group_IT_number 1
_space_group_name_Hall 'P 1'
loop_
_atom_site_label
_atom_site_type_symbol
_atom_site_fract_x
_atom_site_fract_y
_atom_site_fract_z
K1 K 0.000 0.000 0.000
Os1 Os 0.333 0.667 0.500
Rh1 Rh 0.667 0.333 0.500
O1 O 0.015 0.394 0.679
O2 O 0.015 0.621 0.321
O3 O 0.379 0.394 0.321
O4 O 0.379 0.985 0.679
O5 O 0.606 0.621 0.679
O6 O 0.606 0.985 0.321
# Energy relative to the elements, uncorrected, meV/atom: -1062
# Electronic total energy, eV per atom: -6.554

# K2Os3RhO12 PBE relaxed
data_K2Os3RhO12
_chemical_formula_sum 'K2 Os3 Rh1 O12'
_cell_length_a 7.167
_cell_length_b 7.167
_cell_length_c 7.167
_cell_angle_alpha 61.02
_cell_angle_beta 61.02
_cell_angle_gamma 61.02
_space_group_name_H-M_alt 'P 1'
_space_group_IT_number 1
_space_group_name_Hall 'P 1'
loop_
_atom_site_label
_atom_site_type_symbol
_atom_site_fract_x
_atom_site_fract_y
_atom_site_fract_z
K1 K 0.127 0.127 0.127
K2 K 0.873 0.873 0.873
Os1 Os 0.000 0.500 0.500
Os2 Os 0.500 0.000 0.500
Os3 Os 0.500 0.500 0.000
Rh1 Rh 0.500 0.500 0.500
O1 O 0.169 0.572 0.572
O2 O 0.187 0.187 0.568
O3 O 0.187 0.568 0.187
O4 O 0.428 0.428 0.831
O5 O 0.428 0.831 0.428
O6 O 0.432 0.813 0.813
O7 O 0.568 0.187 0.187
O8 O 0.572 0.169 0.572
O9 O 0.572 0.572 0.169
O10 O 0.813 0.432 0.813
O11 O 0.813 0.813 0.432
O12 O 0.831 0.428 0.428
# Energy relative to the elements, uncorrected, meV/atom: -1132
# Electronic total energy, eV per atom: -6.839

# KOs2RhO8 PBE relaxed
data_KOs2RhO8
_chemical_formula_sum 'K1 Os2 Rh1 O8'
_cell_length_a 5.245
_cell_length_b 5.245
_cell_length_c 8.460
_cell_angle_alpha 90.00
_cell_angle_beta 90.00
_cell_angle_gamma 120.00
_space_group_name_H-M_alt 'P 1'
_space_group_IT_number 1
_space_group_name_Hall 'P 1'
loop_
_atom_site_label
_atom_site_type_symbol
_atom_site_fract_x
_atom_site_fract_y
_atom_site_fract_z
K1 K 0.000 0.000 0.000
Os1 Os 0.333 0.667 0.722
Os2 Os 0.667 0.333 0.278
Rh1 Rh 0.000 0.000 0.500
O1 O 0.028 0.334 0.643
O2 O 0.306 0.972 0.643
O3 O 0.333 0.667 0.931
O4 O 0.334 0.306 0.357
O5 O 0.666 0.694 0.643
O6 O 0.667 0.333 0.069
O7 O 0.694 0.028 0.357
O8 O 0.972 0.666 0.357
# Energy relative to the elements, uncorrected, meV/atom: -947
# Electronic total energy, eV per atom: -6.828